The following is a DFT calculation (PBE) of a geometry-optimized AcY2Al structure.

Calculated values
- uncorrected energy (eV/atom) = -5.2653
- energy of formation (meV/atom) = -71

Cell and atoms, written as extended XYZ:
```
4
Lattice="-0.078 -1.206 4.820 4.871 -0.913 -0.150 0.922 4.722 1.197" Properties=species:S:1:pos:R:3 pbc="T T T"
Al 2.858 1.302 2.933
Y 0.461 2.361 0.598
Y 2.435 -0.457 -0.075
Ac -0.039 -0.603 2.410
```